# 1
## KTbTe3Pd (PBE-GGA)

Data for crystalline KTbTe3Pd at its relaxed geometry.

Cell lengths 9.0944, 9.0944, 10.1512 Å; angles 90.00, 90.00, 151.86 degrees
Fractional coordinates of all 12 atoms:
K1 0.2455 0.7545 0.7500
K2 0.7545 0.2455 0.2500
Tb1 0.0000 0.0000 0.0000
Tb2 0.0000 0.0000 0.5000
Te1 0.0987 0.9013 0.2500
Te2 0.3859 0.6141 0.0874
Te3 0.3859 0.6141 0.4126
Te4 0.6141 0.3859 0.5874
Te5 0.6141 0.3859 0.9126
Te6 0.9013 0.0987 0.7500
Pd1 0.4951 0.5049 0.7500
Pd2 0.5049 0.4951 0.2500

E_tot = -26.21 eV per formula unit

=====

# 2
## KTbTe3Pd (PBE-GGA)

Data for crystalline KTbTe3Pd at its relaxed geometry.

Cell lengths 10.0938, 4.4508, 17.6466 Å; angles 90.00, 90.00, 90.00 degrees
Fractional coordinates of all 24 atoms:
K1 0.2354 0.2500 0.0046
K2 0.2646 0.7500 0.5046
K3 0.7354 0.2500 0.4954
K4 0.7646 0.7500 0.9954
Tb1 0.0146 0.7500 0.7486
Tb2 0.4854 0.2500 0.2486
Tb3 0.5146 0.7500 0.7514
Tb4 0.9854 0.2500 0.2514
Te1 0.0747 0.7500 0.1382
Te2 0.1027 0.2500 0.6352
Te3 0.2359 0.2500 0.3500
Te4 0.2641 0.7500 0.8500
Te5 0.3973 0.7500 0.1352
Te6 0.4253 0.2500 0.6382
Te7 0.5747 0.7500 0.3618
Te8 0.6027 0.2500 0.8648
Te9 0.7359 0.2500 0.1500
Te10 0.7641 0.7500 0.6500
Te11 0.8973 0.7500 0.3648
Te12 0.9253 0.2500 0.8618
Pd1 0.2392 0.7500 0.2568
Pd2 0.2608 0.2500 0.7568
Pd3 0.7392 0.7500 0.2432
Pd4 0.7608 0.2500 0.7432

E_tot = -26.21 eV per formula unit

=====

# 3
## K2Te3Pd2 (PBE-GGA)

Data for crystalline K2Te3Pd2 at its relaxed geometry.

Cell lengths 7.0726, 7.0726, 7.0726 Å; angles 64.66, 64.66, 64.66 degrees
Fractional coordinates of all 7 atoms:
K1 0.0000 0.0000 0.0000
K2 0.5000 0.5000 0.5000
Te1 0.0000 0.5000 0.5000
Te2 0.5000 0.0000 0.5000
Te3 0.5000 0.5000 0.0000
Pd1 0.2500 0.2500 0.2500
Pd2 0.7500 0.7500 0.7500

offset from the most stable computed form = 66 meV/atom
E_tot = -23.79 eV per formula unit